The following is a PBE-GGA calculation of a geometry-optimized Cs2Mo3As3 structure, from OQMD.

Properties
The value obtained for the total magnetization is 0.00 μB/atom. The value obtained for the density is 5.7 g/cm³. The calculation puts the volume at 28.53 Å³/atom. The calculation puts the uncorrected energy at -102.0 eV for the cell shown.

Unit cell a=4.4876 b=10.8368 c=10.8368 alpha=60.00 beta=90.00 gamma=90.00
With the nearest neighbours (Å) after each atom.
Atoms (fractional coordinates):
Mo 0.5000 0.9161 0.1678  4 As 2.66-2.68, 6 Mo 2.73-2.77
Cs 0.5000 0.5378 0.9243  6 As 3.56-3.67
Cs 0.0000 0.3333 0.3333  6 As 3.90
Mo 0.0000 0.8236 0.0882  4 As 2.63-2.65, 6 Mo 2.77-2.87
As 0.5000 0.1636 0.1636  4 Mo 2.65-2.66
As 0.0000 0.3236 0.8382  4 Mo 2.63-2.68
As 0.0000 0.8382 0.3236  4 Mo 2.63-2.68
As 0.0000 0.8382 0.8382  4 Mo 2.63-2.68
Mo 0.0000 0.0882 0.8236  4 As 2.63-2.65, 6 Mo 2.77-2.87
As 0.5000 0.6729 0.1636  4 Mo 2.65-2.66
Cs 0.5000 0.9243 0.5378  6 As 3.56-3.67
Mo 0.0000 0.0882 0.0882  4 As 2.63-2.65, 6 Mo 2.77-2.87
Cs 0.5000 0.5378 0.5378  6 As 3.56-3.67
Mo 0.5000 0.9161 0.9161  4 As 2.66-2.68, 6 Mo 2.73-2.77
As 0.5000 0.1636 0.6729  4 Mo 2.65-2.66
Mo 0.5000 0.1678 0.9161  4 As 2.66-2.68, 6 Mo 2.73-2.77

The following is a PBE-GGA calculation of a geometry-optimized CsNb3As5 structure, from OQMD.

Properties
The value obtained for the total magnetization is 0.00 μB/atom. The value obtained for the density is 5.5 g/cm³. The calculation puts the volume at 26.23 Å³/atom. The calculation puts the uncorrected energy at -58.0 eV for the cell shown.

Unit cell a=5.6716 b=5.6716 c=8.4732 alpha=90.00 beta=90.00 gamma=120.00
With the nearest neighbours (Å) after each atom.
Atoms (fractional coordinates):
As 0.6667 0.3333 0.2505  3 Nb 2.67
Nb 0.0000 0.5000 0.5000  6 As 2.67-2.84, 4 Nb 2.84
Nb 0.5000 0.5000 0.5000  6 As 2.67-2.84, 4 Nb 2.84
As 0.0000 0.0000 0.5000  6 Nb 2.84
As 0.3333 0.6667 0.7495  3 Nb 2.67
As 0.6667 0.3333 0.7495  3 Nb 2.67
Nb 0.5000 0.0000 0.5000  6 As 2.67-2.84, 4 Nb 2.84
Cs 0.0000 0.0000 0.0000  14 As 3.90-4.24
As 0.3333 0.6667 0.2505  3 Nb 2.67